Entry 1:
# Ti3BiTe

An optimized crystal structure of Ti3BiTe (PBE, Alexandria).

Unit cell a=6.770 b=6.770 c=6.770 alpha=62.38 beta=62.38 gamma=62.38
Element x y z (fractional)
1 Ti 0.068 0.821 0.611
2 Ti 0.111 0.321 0.568
3 Ti 0.321 0.568 0.111
4 Ti 0.568 0.111 0.321
5 Ti 0.611 0.068 0.821
6 Ti 0.821 0.611 0.068
7 Bi 0.185 0.185 0.185
8 Bi 0.685 0.685 0.685
9 Te 0.473 0.473 0.473
10 Te 0.973 0.973 0.973

Size of the total moment: 0.0 μB/f.u.
E_form (uncorrected): -44 meV per atom
DFT total energy: -61.9 eV/cell



Entry 2:
# KMg2Pb9

An optimized crystal structure of KMg2Pb9 (PBE, Alexandria).

Unit cell a=10.891 b=10.891 c=3.619 alpha=90.00 beta=90.00 gamma=120.00
Element x y z (fractional)
1 K 0.000 0.000 0.000
2 Mg 0.333 0.667 0.000
3 Mg 0.667 0.333 0.000
4 Pb 0.000 0.500 0.000
5 Pb 0.186 0.371 0.500
6 Pb 0.186 0.814 0.500
7 Pb 0.371 0.186 0.500
8 Pb 0.500 0.000 0.000
9 Pb 0.500 0.500 0.000
10 Pb 0.629 0.814 0.500
11 Pb 0.814 0.186 0.500
12 Pb 0.814 0.629 0.500

Size of the total moment: 0.0 μB/f.u.
Formation energy from the elements: -0.0269 eV per atom
DFT total energy: -38.0 eV/cell



Entry 3:
# ScTaMnRh

An optimized crystal structure of ScTaMnRh (PBE, Alexandria).

Unit cell a=4.451 b=4.451 c=4.451 alpha=60.00 beta=60.00 gamma=60.00
Element x y z (fractional)
1 Sc 0.000 0.000 0.000
2 Ta 0.500 0.500 0.500
3 Mn 0.250 0.250 0.250
4 Rh 0.750 0.750 0.750

Size of the total moment: 0.0 μB/f.u.
Formation energy from the elements: -0.3910 eV per atom
DFT total energy: -36.3 eV/cell